(1)
Entry from the Alexandria database: a geometry-optimized ZrTaMo2 structure (GGA-PBE).

Computed properties:
Its space group is F-43m. The calculation puts the formation energy at 35.5 meV per atom. As for the total energy: -10.480 eV/atom. For the energy above the most stable polymorph in this dataset, the calculation gives 0.110 eV per atom.

Cell: 4.640 4.640 4.640 Å, 60.00 60.00 60.00°
Fractional positions:
Mo 0.000 0.000 0.000
Mo 0.250 0.250 0.250
Ta 0.500 0.500 0.500
Zr 0.750 0.750 0.750


(2)
Entry from the Alexandria database: a geometry-optimized MgFeIr structure (GGA-PBE).

Computed properties:
Its space group is F-43m. The calculation puts the formation energy at 253.4 meV per atom. As for the total energy: -6.053 eV/atom.

Cell: 4.230 4.230 4.230 Å, 60.00 60.00 60.00°
Site moments in Bohr magnetons follow the coordinates.
Fractional positions:
Fe 0.500 0.500 0.500  3.09
Ir 0.750 0.750 0.750  0.59
Mg 0.000 0.000 0.000  0.00


(3)
Entry from the Alexandria database: a geometry-optimized NdTlCd2 structure (GGA-PBE).

Computed properties:
Its space group is P4/mmm. The calculation puts the formation energy at -291.4 meV per atom. As for the total energy: -2.532 eV/atom. For the energy above the most stable polymorph in this dataset, the calculation gives 0.000 eV per atom.

Cell: 4.937 4.625 4.625 Å, 90.00 90.00 90.00°
Fractional positions:
Tl 0.500 0.000 0.000
Nd 0.500 0.500 0.500
Cd 0.000 0.000 0.500
Cd 0.000 0.500 0.000


(4)
Entry from the Alexandria database: a geometry-optimized IrRuSe2 structure (GGA-PBE).

Computed properties:
Its space group is Cmmm. As for the total energy: -5.622 eV/atom. For the energy above the most stable polymorph in this dataset, the calculation gives 0.605 eV per atom.

Cell: 2.917 2.917 8.811 Å, 90.00 90.00 120.03°
Fractional positions:
Ir 0.500 0.500 0.250
Ru 0.500 0.500 0.750
Se 0.000 0.000 0.992
Se 0.000 0.000 0.508


(5)
Entry from the Alexandria database: a geometry-optimized Cs2ZnHS2 structure (GGA-PBE).

Computed properties:
Its space group is Ibam. As for the total energy: -2.955 eV/atom.

Cell: 6.127 10.153 8.854 Å, 124.99 110.25 90.00°
Site moments in Bohr magnetons follow the coordinates.
Fractional positions:
Cs 0.632 0.930 0.263  0.01
Cs 0.132 0.333 0.263  0.01
Cs 0.868 0.667 0.737  0.01
Cs 0.368 0.070 0.737  0.01
Zn 0.750 0.500 0.000  0.02
Zn 0.250 0.500 0.000  0.02
H 0.250 0.000 0.000  0.18
H 0.750 0.000 0.000  0.18
S 0.399 0.518 0.797  0.17
S 0.601 0.482 0.203  0.17
S 0.101 0.721 0.203  0.17
S 0.899 0.279 0.797  0.17


(6)
Entry from the Alexandria database: a geometry-optimized Zr2Si structure (GGA-PBE).

Computed properties:
Its space group is I4/mcm. As for the total energy: -8.287 eV/atom.

Cell: 5.392 5.392 5.392 Å, 104.01 104.01 121.05°
Fractional positions:
Si 0.250 0.250 0.000
Si 0.750 0.750 0.000
Zr 0.658 0.158 0.816
Zr 0.342 0.842 0.184
Zr 0.158 0.342 0.500
Zr 0.842 0.658 0.500


(7)
Entry from the Alexandria database: a geometry-optimized Cd2HPtRh structure (GGA-PBE).

Computed properties:
Its space group is P4/mmm. As for the total energy: -3.515 eV/atom. For the energy above the most stable polymorph in this dataset, the calculation gives 0.339 eV per atom.

Cell: 5.166 3.144 5.166 Å, 90.00 90.00 90.00°
Fractional positions:
H 0.000 0.500 0.000
Rh 0.000 0.000 0.000
Pt 0.500 0.500 0.500
Cd 0.000 0.000 0.500
Cd 0.500 0.000 0.000


(8)
Entry from the Alexandria database: a geometry-optimized TaMnRe2 structure (GGA-PBE).

Computed properties:
Its space group is I-42d. The calculation puts the formation energy at 661.1 meV per atom. As for the total energy: -10.818 eV/atom.

Cell: 7.079 7.079 5.616 Å, 50.94 50.94 90.00°
Fractional positions:
Re 0.588 0.125 0.250
Re 0.162 0.625 0.250
Re 0.375 0.412 0.750
Re 0.875 0.838 0.750
Mn 0.500 0.500 0.000
Mn 0.250 0.750 0.500
Ta 0.000 0.000 0.000
Ta 0.750 0.250 0.500